# PBE with a Hubbard U MgCrSb2F, relaxed
# Total DFT energy (no corrections): -4.13 eV per atom
# D(E_F): 2.41 states/eV per cell
data_MgCrSb2F
_chemical_formula_sum 'Mg1 Cr1 Sb2 F1'
_symmetry_space_group_name_H-M 'P 1'
_symmetry_Int_Tables_number 1
_symmetry_space_group_name_Hall 'P 1'
_cell_length_a 5.269
_cell_length_b 5.269
_cell_length_c 4.066
_cell_angle_alpha 90.00
_cell_angle_beta 90.00
_cell_angle_gamma 90.00
loop_
_atom_site_label
_atom_site_type_symbol
_atom_site_fract_x
_atom_site_fract_y
_atom_site_fract_z
Mg1 Mg 0.000 0.000 0.000
Cr1 Cr 0.500 0.500 0.000
Sb1 Sb 0.000 0.500 0.500
Sb2 Sb 0.500 0.000 0.500
F1 F 0.500 0.500 0.500